{
  "formula": "GeTeAsP2",
  "functional": "PBE",
  "state": "optimized geometry",
  "raw_formation_energy_ev_per_fu": 6.6,
  "sg": "P4/mmm (123)",
  "vol_a3_per_fu": 136.87,
  "total_energy_ev_per_atom": -3.32,
  "cell": [[-3.7147, -3.2152, -1.1087], [-1.0452, -0.6059, 5.2591], [-3.2581, 3.8351, -0.2056]],
  "species": ["As", "P", "P", "Te", "Ge"],
  "frac_coords": [[0.5000, 0.5000, 0.5000], [0.0000, 0.0000, 0.5000], [0.5000, 0.0000, 0.0000], [0.0000, 0.0000, 0.0000], [0.0000, 0.5000, 0.0000]]
}